# 1
Here is Dy4Al2ZnIn after structural relaxation from Alexandria via LeMat-Bulk. Energies are from GGA-PBE.

Values from the calculation:
- spin magnetization (Bohr magnetons per cell) = 0.00
- E_tot (eV for the cell shown) = -99.3

a = 5.1440 Å, b = 5.1440 Å, c = 25.1653 Å
α = 90.00°, β = 90.00°, γ = 120.00°
Space group R-3m (No. 166, hexagonal axes)
Asymmetric unit:
Dy  0.0000  0.0000  0.1210 [6 per cell]
Dy  0.0000  0.0000  0.3713 [6 per cell]
Al  0.0000  0.0000  0.2495 [6 per cell]
Zn  0.0000  0.0000  0.0000 [3 per cell]
In  0.0000  0.0000  0.5000 [3 per cell]

# 2
Here is Sm3Sb after structural relaxation from Alexandria via LeMat-Bulk. Energies are from GGA-PBE.

Values from the calculation:
- spin magnetization (Bohr magnetons per cell) = 0.00
- uncorrected formation energy (meV per atom) = -479
- E above lowest polymorph (meV per atom) = 51

a = 4.757 Å, b = 4.757 Å, c = 10.450 Å
α = 90.00°, β = 90.00°, γ = 90.00°
Space group I4/mmm (No. 139)
Asymmetric unit:
Sm  0.000  0.000  0.000 [2 per cell]
Sm  0.000  0.500  0.250 [4 per cell]
Sb  0.000  0.000  0.500 [2 per cell]

# 3
Here is CePr2Lu after structural relaxation from Alexandria via LeMat-Bulk. Energies are from GGA-PBE.

Values from the calculation:
- spin magnetization (Bohr magnetons per cell) = 11.68
- E above lowest polymorph (meV per atom) = 121

a = 8.140 Å, b = 8.140 Å, c = 8.140 Å
α = 90.00°, β = 90.00°, γ = 90.00°
Space group Fm-3m (No. 225)
Asymmetric unit:
Ce  0.000  0.000  0.000 [4 per cell]
Pr  0.250  0.250  0.250 [8 per cell]
Lu  0.000  0.000  0.500 [4 per cell]

# 4
Here is LiOs2Se after structural relaxation from Alexandria via LeMat-Bulk. Energies are from GGA-PBE.

Values from the calculation:
- spin magnetization (Bohr magnetons per cell) = 0.00
- uncorrected formation energy (meV per atom) = 263

a = 2.857 Å, b = 3.957 Å, c = 10.985 Å
α = 90.00°, β = 90.00°, γ = 90.00°
Space group Immm (No. 71)
Asymmetric unit:
Li  0.000  0.000  0.000 [2 per cell]
Os  0.000  0.500  0.207 [4 per cell]
Se  0.000  0.000  0.500 [2 per cell]

# 5
Here is HfBrF3 after structural relaxation from Alexandria via LeMat-Bulk. Energies are from GGA-PBE.

Values from the calculation:
- spin magnetization (Bohr magnetons per cell) = 0.00
- uncorrected formation energy (meV per atom) = 46
- E above lowest polymorph (meV per atom) = 3093

a = 4.552 Å, b = 4.552 Å, c = 4.552 Å
α = 90.00°, β = 90.00°, γ = 90.00°
Space group Pm-3m (No. 221)
Asymmetric unit:
Hf  0.000  0.000  0.000 [1 per cell]
Br  0.500  0.500  0.500 [1 per cell]
F  0.000  0.500  0.500 [3 per cell]

# 6
Here is Al2TlHg2 after structural relaxation from Alexandria via LeMat-Bulk. Energies are from GGA-PBE.

Values from the calculation:
- spin magnetization (Bohr magnetons per cell) = 0.00
- E above lowest polymorph (meV per atom) = 0

a = 4.296 Å, b = 4.296 Å, c = 12.975 Å
α = 90.00°, β = 90.00°, γ = 90.00°
Space group I4/mmm (No. 139)
Asymmetric unit:
Al  0.000  0.500  0.250 [4 per cell]
Tl  0.000  0.000  0.000 [2 per cell]
Hg  0.000  0.000  0.387 [4 per cell]

# 7
Here is EuNiSn after structural relaxation from Alexandria via LeMat-Bulk. Energies are from GGA-PBE.

Values from the calculation:
- spin magnetization (Bohr magnetons per cell) = 6.91
- E_tot (eV for the cell shown) = -21.4

a = 4.4749 Å, b = 4.4749 Å, c = 4.1139 Å
α = 90.00°, β = 90.00°, γ = 120.00°
Space group P-6m2 (No. 187)
Asymmetric unit:
Eu  0.0000  0.0000  0.0000 [1 per cell]
Ni  0.3333  0.6667  0.5000 [1 per cell]
Sn  0.6667  0.3333  0.5000 [1 per cell]

# 8
Here is Ho4Te5H2 after structural relaxation from Alexandria via LeMat-Bulk. Energies are from GGA-PBE.

Values from the calculation:
- spin magnetization (Bohr magnetons per cell) = 0.00
- E_tot (eV for the cell shown) = -106.8

a = 21.017 Å, b = 4.185 Å, c = 8.461 Å
α = 90.00°, β = 103.94°, γ = 90.00°
Space group C2/m (No. 12)
Asymmetric unit:
Ho  0.042  0.000  0.270 [4 per cell]
Ho  0.170  0.500  0.528 [4 per cell]
Te  0.000  0.500  0.000 [2 per cell]
Te  0.094  0.000  0.659 [4 per cell]
Te  0.189  0.000  0.277 [4 per cell]
H  0.075  0.500  0.353 [4 per cell]